Entry 1:
Computed, not measured: crystalline CuAsIrSe2 at its relaxed geometry at the PBE-GGA level of DFT.

Size of the total moment   0.00 μB/f.u.
Space group   P4/mmm, No. 123
Raw formation energy   5.46 eV per formula unit
Distance to the lowest polymorph of the same formula   316.8 meV/atom

a = 5.084 Å, b = 5.084 Å, c = 4.579 Å
α = 90.00°, β = 90.00°, γ = 90.00°
Positions (direct):
1 Cu 0.000 0.000 0.000
2 As 0.500 0.500 0.500
3 Ir 0.500 0.500 0.000
4 Se 0.000 0.500 0.500
5 Se 0.500 0.000 0.500


Entry 2:
Computed, not measured: crystalline Sm2CuAs4Ir3 at its relaxed geometry at the PBE-GGA level of DFT.

Size of the total moment   0.00 μB/f.u.
Space group   P-4m2, No. 115
Energy relative to the elements   -0.684 eV/atom

a = 4.317 Å, b = 4.317 Å, c = 9.958 Å
α = 90.00°, β = 90.00°, γ = 90.00°
Positions (direct):
1 Sm 0.000 0.500 0.249
2 Sm 0.500 0.000 0.751
3 Cu 0.500 0.500 0.000
4 As 0.000 0.000 0.500
5 As 0.000 0.500 0.866
6 As 0.500 0.000 0.134
7 As 0.500 0.500 0.500
8 Ir 0.000 0.000 0.000
9 Ir 0.000 0.500 0.621
10 Ir 0.500 0.000 0.379


Entry 3:
Computed, not measured: crystalline SrCuAs2Ir at its relaxed geometry at the PBE-GGA level of DFT.

Size of the total moment   0.00 μB/f.u.
Space group   I-4m2, No. 119
Energy relative to the elements   -0.494 eV/atom

a = 6.443 Å, b = 6.443 Å, c = 6.443 Å
α = 141.94°, β = 141.94°, γ = 54.92°
Positions (direct):
1 Sr 0.000 0.000 0.000
2 Cu 0.250 0.750 0.500
3 As 0.365 0.365 0.000
4 As 0.635 0.635 0.000
5 Ir 0.750 0.250 0.500


Entry 4:
Computed, not measured: crystalline Sr2CuAs4Ir3 at its relaxed geometry at the PBE-GGA level of DFT.

Size of the total moment   0.00 μB/f.u.
Space group   P-4m2, No. 115
Energy relative to the elements   -0.540 eV/atom

a = 4.418 Å, b = 4.418 Å, c = 9.950 Å
α = 90.00°, β = 90.00°, γ = 90.00°
Positions (direct):
1 Sr 0.000 0.500 0.249
2 Sr 0.500 0.000 0.751
3 Cu 0.000 0.000 0.500
4 As 0.000 0.000 0.000
5 As 0.000 0.500 0.631
6 As 0.500 0.000 0.369
7 As 0.500 0.500 0.000
8 Ir 0.000 0.500 0.883
9 Ir 0.500 0.000 0.117
10 Ir 0.500 0.500 0.500


Entry 5:
Computed, not measured: crystalline TiCuAs2Ir at its relaxed geometry at the PBE-GGA level of DFT.

Size of the total moment   0.00 μB/f.u.
Space group   P4/mmm, No. 123
Energy relative to the elements   0.770 eV/atom

a = 4.527 Å, b = 4.527 Å, c = 4.612 Å
α = 90.00°, β = 90.00°, γ = 90.00°
Positions (direct):
1 Ti 0.000 0.000 0.000
2 Cu 0.500 0.500 0.500
3 As 0.000 0.500 0.500
4 As 0.500 0.000 0.500
5 Ir 0.500 0.500 0.000


Entry 6:
Computed, not measured: crystalline YCuAsIr2 at its relaxed geometry at the PBE-GGA level of DFT.

Size of the total moment   0.00 μB/f.u.
Space group   P4/mmm, No. 123
Energy relative to the elements   0.350 eV/atom

a = 4.696 Å, b = 4.696 Å, c = 4.370 Å
α = 90.00°, β = 90.00°, γ = 90.00°
Positions (direct):
1 Y 0.000 0.000 0.000
2 Cu 0.500 0.500 0.500
3 As 0.500 0.500 0.000
4 Ir 0.000 0.500 0.500
5 Ir 0.500 0.000 0.500


Entry 7:
Computed, not measured: crystalline ZnCu2AsIr at its relaxed geometry at the PBE-GGA level of DFT.

Size of the total moment   0.00 μB/f.u.
Space group   P4/mmm, No. 123
Energy relative to the elements   0.616 eV/atom

a = 4.835 Å, b = 4.835 Å, c = 4.523 Å
α = 90.00°, β = 90.00°, γ = 90.00°
Positions (direct):
1 Zn 0.000 0.000 0.000
2 Cu 0.000 0.500 0.500
3 Cu 0.500 0.000 0.500
4 As 0.500 0.500 0.000
5 Ir 0.500 0.500 0.500


Entry 8:
Computed, not measured: crystalline KCuAs2 at its relaxed geometry at the PBE-GGA level of DFT.

Size of the total moment   0.00 μB/f.u.
Space group   P4mm, No. 99
Distance to the lowest polymorph of the same formula   289.7 meV/atom
Energy relative to the elements   0.151 eV/atom

a = 3.510 Å, b = 3.510 Å, c = 7.377 Å
α = 90.00°, β = 90.00°, γ = 90.00°
Positions (direct):
1 K 0.000 0.000 0.000
2 Cu 0.500 0.500 0.647
3 As 0.000 0.000 0.532
4 As 0.500 0.500 0.322


Entry 9:
Computed, not measured: crystalline KCuAs2 at its relaxed geometry at the PBE-GGA level of DFT.

Size of the total moment   0.00 μB/f.u.
Space group   R-3m, No. 166
Distance to the lowest polymorph of the same formula   49.3 meV/atom
Energy relative to the elements   -0.089 eV/atom

a = 6.494 Å, b = 6.494 Å, c = 6.494 Å
α = 40.27°, β = 40.27°, γ = 40.27°
Positions (direct):
1 K 0.000 0.000 0.000
2 Cu 0.500 0.500 0.500
3 As 0.193 0.193 0.193
4 As 0.807 0.807 0.807


Entry 10:
Computed, not measured: crystalline KCuAs2 at its relaxed geometry at the PBE-GGA level of DFT.

Size of the total moment   0.00 μB/f.u.
Space group   C2/m, No. 12
Distance to the lowest polymorph of the same formula   11.1 meV/atom
Energy relative to the elements   -0.127 eV/atom

a = 4.524 Å, b = 4.524 Å, c = 6.368 Å
α = 101.03°, β = 101.03°, γ = 53.89°
Positions (direct):
1 K 0.000 0.000 0.000
2 Cu 0.500 0.500 0.500
3 As 0.245 0.245 0.625
4 As 0.755 0.755 0.375


Entry 11:
Computed, not measured: crystalline KCu2As at its relaxed geometry at the PBE-GGA level of DFT.

Size of the total moment   0.00 μB/f.u.
Space group   Pmmm, No. 47
Energy relative to the elements   0.312 eV/atom

a = 2.799 Å, b = 3.936 Å, c = 7.386 Å
α = 90.00°, β = 90.00°, γ = 90.00°
Positions (direct):
1 K 0.000 0.000 0.000
2 Cu 0.500 0.500 0.330
3 Cu 0.500 0.500 0.670
4 As 0.000 0.000 0.500


Entry 12:
Computed, not measured: crystalline KCuAs2 at its relaxed geometry at the PBE-GGA level of DFT.

Size of the total moment   0.00 μB/f.u.
Space group   Fm-3m, No. 225
Distance to the lowest polymorph of the same formula   538.3 meV/atom
Energy relative to the elements   0.400 eV/atom

a = 4.892 Å, b = 4.892 Å, c = 4.892 Å
α = 60.00°, β = 60.00°, γ = 60.00°
Positions (direct):
1 K 0.000 0.000 0.000
2 Cu 0.500 0.500 0.500
3 As 0.250 0.250 0.250
4 As 0.750 0.750 0.750


Entry 13:
Computed, not measured: crystalline KCu3As at its relaxed geometry at the PBE-GGA level of DFT.

Size of the total moment   0.00 μB/f.u.
Space group   Pm-3m, No. 221
Distance to the lowest polymorph of the same formula   1489.5 meV/atom
Energy relative to the elements   1.716 eV/atom

a = 4.897 Å, b = 4.897 Å, c = 4.897 Å
α = 90.00°, β = 90.00°, γ = 90.00°
Positions (direct):
1 K 0.000 0.000 0.000
2 Cu 0.000 0.000 0.500
3 Cu 0.000 0.500 0.000
4 Cu 0.500 0.000 0.000
5 As 0.500 0.500 0.500


Entry 14:
Computed, not measured: crystalline KCu2As at its relaxed geometry at the PBE-GGA level of DFT.

Size of the total moment   0.00 μB/f.u.
Space group   Pmmm, No. 47
Energy relative to the elements   0.533 eV/atom

a = 2.792 Å, b = 5.141 Å, c = 5.439 Å
α = 90.00°, β = 90.00°, γ = 90.00°
Positions (direct):
1 K 0.000 0.000 0.000
2 Cu 0.000 0.500 0.500
3 Cu 0.500 0.500 0.000
4 As 0.500 0.000 0.500


Entry 15:
Computed, not measured: crystalline KCuAs2 at its relaxed geometry at the PBE-GGA level of DFT.

Size of the total moment   0.00 μB/f.u.
Space group   P4/mmm, No. 123
Distance to the lowest polymorph of the same formula   129.9 meV/atom
Energy relative to the elements   -0.008 eV/atom

a = 3.565 Å, b = 3.565 Å, c = 6.970 Å
α = 90.00°, β = 90.00°, γ = 90.00°
Positions (direct):
1 K 0.000 0.000 0.000
2 Cu 0.000 0.000 0.500
3 As 0.500 0.500 0.333
4 As 0.500 0.500 0.667


Entry 16:
Computed, not measured: crystalline KCu12As6 at its relaxed geometry at the PBE-GGA level of DFT.

Size of the total moment   0.00 μB/f.u.
Space group   R-3m, No. 166
Energy relative to the elements   0.025 eV/atom

a = 7.265 Å, b = 7.265 Å, c = 7.265 Å
α = 106.18°, β = 106.18°, γ = 106.18°
Positions (direct):
1 K 0.000 0.000 0.000
2 Cu 0.172 0.500 0.828
3 Cu 0.172 0.828 0.500
4 Cu 0.212 0.447 0.447
5 Cu 0.447 0.212 0.447
6 Cu 0.447 0.447 0.212
7 Cu 0.500 0.172 0.828
8 Cu 0.500 0.828 0.172
9 Cu 0.553 0.553 0.788
10 Cu 0.553 0.788 0.553
11 Cu 0.788 0.553 0.553
12 Cu 0.828 0.172 0.500
13 Cu 0.828 0.500 0.172
14 As 0.194 0.194 0.604
15 As 0.194 0.604 0.194
16 As 0.396 0.806 0.806
17 As 0.604 0.194 0.194
18 As 0.806 0.396 0.806
19 As 0.806 0.806 0.396


Entry 17:
Computed, not measured: crystalline KCu2As at its relaxed geometry at the PBE-GGA level of DFT.

Size of the total moment   0.00 μB/f.u.
Space group   Pmm2, No. 25
Energy relative to the elements   0.158 eV/atom

a = 2.799 Å, b = 3.854 Å, c = 7.391 Å
α = 90.00°, β = 90.00°, γ = 90.00°
Positions (direct):
1 K 0.000 0.000 0.000
2 Cu 0.000 0.000 0.509
3 Cu 0.500 0.500 0.660
4 As 0.500 0.500 0.333


Entry 18:
Computed, not measured: crystalline KCu2As at its relaxed geometry at the PBE-GGA level of DFT.

Size of the total moment   0.00 μB/f.u.
Space group   Pm, No. 6
Energy relative to the elements   0.094 eV/atom

a = 3.104 Å, b = 4.100 Å, c = 6.934 Å
α = 90.00°, β = 101.96°, γ = 90.00°
Positions (direct):
1 K 0.000 0.000 0.000
2 Cu 0.275 0.500 0.597
3 Cu 0.732 0.000 0.507
4 As 0.646 0.500 0.317


Entry 19:
Computed, not measured: crystalline KCu2As at its relaxed geometry at the PBE-GGA level of DFT.

Size of the total moment   0.00 μB/f.u.
Space group   F-43m, No. 216
Energy relative to the elements   0.493 eV/atom

a = 4.751 Å, b = 4.751 Å, c = 4.751 Å
α = 60.00°, β = 60.00°, γ = 60.00°
Positions (direct):
1 K 0.000 0.000 0.000
2 Cu 0.500 0.500 0.500
3 Cu 0.750 0.750 0.750
4 As 0.250 0.250 0.250


Entry 20:
Computed, not measured: crystalline K2CuAs at its relaxed geometry at the PBE-GGA level of DFT.

Size of the total moment   0.00 μB/f.u.
Space group   Pmmm, No. 47
Energy relative to the elements   0.219 eV/atom

a = 4.542 Å, b = 4.593 Å, c = 5.028 Å
α = 90.00°, β = 90.00°, γ = 90.00°
Positions (direct):
1 K 0.000 0.000 0.000
2 K 0.500 0.500 0.000
3 Cu 0.000 0.500 0.500
4 As 0.500 0.000 0.500